No. 1
# PBE KFeAgP, optimized geometry
# Formation enthalpy at 0 K (eV per atom): -0.302
# Total energy (eV/atom): -4.757
# D(E_F) (states/eV/atom): 0.596
# Calculated density (g cm⁻³): 4.35
# Magnetization (Bohr magnetons per cell): 0.00
data_KFeAgP
_symmetry_space_group_name_H-M 'P 1'
_symmetry_Int_Tables_number 1
_cell_length_a 3.8274
_cell_length_b 3.8274
_cell_length_c 12.1909
_cell_angle_alpha 90.00
_cell_angle_beta 90.00
_cell_angle_gamma 90.00
loop_
_symmetry_equiv_pos_as_xyz
'x,y,z'
loop_
_atom_site_label
_atom_site_type_symbol
_atom_site_fract_x
_atom_site_fract_y
_atom_site_fract_z
_atom_site_occupancy
Ag1 Ag 0.2500 0.7500 0.5000 1
Ag2 Ag 0.7500 0.2500 0.5000 1
P1 P 0.7500 0.7500 0.9106 1
P2 P 0.2500 0.2500 0.0894 1
Fe1 Fe 0.7500 0.2500 0.0000 1
Fe2 Fe 0.2500 0.7500 0.0000 1
K1 K 0.2500 0.2500 0.7505 1
K2 K 0.7500 0.7500 0.2495 1


No. 2
# PBE KRbFe2Ag, optimized geometry
# Formation enthalpy at 0 K (eV per atom): 1.923
# Total energy (eV/atom): -2.445
# D(E_F) (states/eV/atom): 1.297
# Calculated density (g cm⁻³): 2.78
# Magnetization (Bohr magnetons per cell): 6.68
data_KRbFe2Ag
_symmetry_space_group_name_H-M 'P 1'
_symmetry_Int_Tables_number 1
_cell_length_a 5.7061
_cell_length_b 6.3187
_cell_length_c 5.7061
_cell_angle_alpha 90.00
_cell_angle_beta 90.00
_cell_angle_gamma 90.00
loop_
_symmetry_equiv_pos_as_xyz
'x,y,z'
loop_
_atom_site_label
_atom_site_type_symbol
_atom_site_fract_x
_atom_site_fract_y
_atom_site_fract_z
_atom_site_occupancy
K1 K 0.0000 0.5000 0.0000 1
Fe1 Fe 0.5000 0.0000 0.0000 1
Fe2 Fe 0.0000 0.0000 0.5000 1
Ag1 Ag 0.5000 0.5000 0.5000 1
Rb1 Rb 0.0000 0.0000 0.0000 1


No. 3
# PBE KFe2AgRh, optimized geometry
# Formation enthalpy at 0 K (eV per atom): 0.821
# Total energy (eV/atom): -4.824
# D(E_F) (states/eV/atom): 1.474
# Calculated density (g cm⁻³): 5.02
# Magnetization (Bohr magnetons per cell): 7.51
data_KFe2AgRh
_symmetry_space_group_name_H-M 'P 1'
_symmetry_Int_Tables_number 1
_cell_length_a 4.7367
_cell_length_b 5.3330
_cell_length_c 4.7367
_cell_angle_alpha 90.00
_cell_angle_beta 90.00
_cell_angle_gamma 90.00
loop_
_symmetry_equiv_pos_as_xyz
'x,y,z'
loop_
_atom_site_label
_atom_site_type_symbol
_atom_site_fract_x
_atom_site_fract_y
_atom_site_fract_z
_atom_site_occupancy
Rh1 Rh 0.0000 0.0000 0.0000 1
K1 K 0.5000 0.5000 0.5000 1
Fe1 Fe 0.0000 0.0000 0.5000 1
Fe2 Fe 0.5000 0.0000 0.0000 1
Ag1 Ag 0.0000 0.5000 0.0000 1


No. 4
# PBE KV2FeAg, optimized geometry
# Formation enthalpy at 0 K (eV per atom): 1.776
# Total energy (eV/atom): -4.353
# D(E_F) (states/eV/atom): 2.608
# Calculated density (g cm⁻³): 3.99
# Magnetization (Bohr magnetons per cell): 7.25
data_KV2FeAg
_symmetry_space_group_name_H-M 'P 1'
_symmetry_Int_Tables_number 1
_cell_length_a 5.0975
_cell_length_b 4.8805
_cell_length_c 5.0975
_cell_angle_alpha 90.00
_cell_angle_beta 90.00
_cell_angle_gamma 90.00
loop_
_symmetry_equiv_pos_as_xyz
'x,y,z'
loop_
_atom_site_label
_atom_site_type_symbol
_atom_site_fract_x
_atom_site_fract_y
_atom_site_fract_z
_atom_site_occupancy
Ag1 Ag 0.0000 0.0000 0.0000 1
V1 V 0.5000 0.0000 0.0000 1
V2 V 0.0000 0.0000 0.5000 1
Fe1 Fe 0.0000 0.5000 0.0000 1
K1 K 0.5000 0.5000 0.5000 1


No. 5
# PBE KFe2AgW, optimized geometry
# Formation enthalpy at 0 K (eV per atom): 1.695
# Total energy (eV/atom): -5.070
# D(E_F) (states/eV/atom): 1.062
# Calculated density (g cm⁻³): 5.92
# Magnetization (Bohr magnetons per cell): 2.42
data_KFe2AgW
_symmetry_space_group_name_H-M 'P 1'
_symmetry_Int_Tables_number 1
_cell_length_a 4.5392
_cell_length_b 6.0220
_cell_length_c 4.5392
_cell_angle_alpha 90.00
_cell_angle_beta 90.00
_cell_angle_gamma 90.00
loop_
_symmetry_equiv_pos_as_xyz
'x,y,z'
loop_
_atom_site_label
_atom_site_type_symbol
_atom_site_fract_x
_atom_site_fract_y
_atom_site_fract_z
_atom_site_occupancy
Fe1 Fe 0.0000 0.0000 0.5000 1
Fe2 Fe 0.5000 0.0000 0.0000 1
W1 W 0.0000 0.0000 0.0000 1
Ag1 Ag 0.5000 0.5000 0.5000 1
K1 K 0.0000 0.5000 0.0000 1


No. 6
# PBE K2YFeAg, optimized geometry
# Formation enthalpy at 0 K (eV per atom): 1.034
# Total energy (eV/atom): -2.961
# D(E_F) (states/eV/atom): 1.752
# Calculated density (g cm⁻³): 2.65
# Magnetization (Bohr magnetons per cell): 2.86
data_K2YFeAg
_symmetry_space_group_name_H-M 'P 1'
_symmetry_Int_Tables_number 1
_cell_length_a 5.9596
_cell_length_b 5.8426
_cell_length_c 5.9596
_cell_angle_alpha 90.00
_cell_angle_beta 90.00
_cell_angle_gamma 90.00
loop_
_symmetry_equiv_pos_as_xyz
'x,y,z'
loop_
_atom_site_label
_atom_site_type_symbol
_atom_site_fract_x
_atom_site_fract_y
_atom_site_fract_z
_atom_site_occupancy
Ag1 Ag 0.0000 0.0000 0.0000 1
K1 K 0.5000 0.0000 0.0000 1
K2 K 0.0000 0.0000 0.5000 1
Y1 Y 0.0000 0.5000 0.0000 1
Fe1 Fe 0.5000 0.5000 0.5000 1


No. 7
# PBE KZnFeAg2, optimized geometry
# Formation enthalpy at 0 K (eV per atom): 0.476
# Total energy (eV/atom): -2.831
# D(E_F) (states/eV/atom): 0.719
# Calculated density (g cm⁻³): 4.95
# Magnetization (Bohr magnetons per cell): 2.75
data_KZnFeAg2
_symmetry_space_group_name_H-M 'P 1'
_symmetry_Int_Tables_number 1
_cell_length_a 5.1013
_cell_length_b 4.8516
_cell_length_c 5.1013
_cell_angle_alpha 90.00
_cell_angle_beta 90.00
_cell_angle_gamma 90.00
loop_
_symmetry_equiv_pos_as_xyz
'x,y,z'
loop_
_atom_site_label
_atom_site_type_symbol
_atom_site_fract_x
_atom_site_fract_y
_atom_site_fract_z
_atom_site_occupancy
Zn1 Zn 0.0000 0.5000 0.0000 1
K1 K 0.5000 0.5000 0.5000 1
Fe1 Fe 0.0000 0.0000 0.0000 1
Ag1 Ag 0.5000 0.0000 0.0000 1
Ag2 Ag 0.0000 0.0000 0.5000 1


No. 8
# PBE LaFe2Ag, optimized geometry
# Formation enthalpy at 0 K (eV per atom): 0.742
# Total energy (eV/atom): -5.434
# D(E_F) (states/eV/atom): 1.790
# Calculated density (g cm⁻³): 7.94
# Magnetization (Bohr magnetons per cell): 5.58
data_LaFe2Ag
_symmetry_space_group_name_H-M 'P 1'
_symmetry_Int_Tables_number 1
_cell_length_a 9.8048
_cell_length_b 9.8048
_cell_length_c 9.8048
_cell_angle_alpha 17.58
_cell_angle_beta 17.58
_cell_angle_gamma 17.58
loop_
_symmetry_equiv_pos_as_xyz
'x,y,z'
loop_
_atom_site_label
_atom_site_type_symbol
_atom_site_fract_x
_atom_site_fract_y
_atom_site_fract_z
_atom_site_occupancy
Ag1 Ag 0.7500 0.7500 0.7500 1
Fe1 Fe 0.4919 0.4919 0.4919 1
Fe2 Fe 0.0081 0.0081 0.0081 1
La1 La 0.2500 0.2500 0.2500 1


No. 9
# PBE LaFeAg, optimized geometry
# Formation enthalpy at 0 K (eV per atom): 0.848
# Total energy (eV/atom): -4.566
# D(E_F) (states/eV/atom): 2.483
# Calculated density (g cm⁻³): 5.97
# Magnetization (Bohr magnetons per cell): 2.42
data_LaFeAg
_symmetry_space_group_name_H-M 'P 1'
_symmetry_Int_Tables_number 1
_cell_length_a 4.9204
_cell_length_b 4.9204
_cell_length_c 4.9204
_cell_angle_alpha 60.00
_cell_angle_beta 60.00
_cell_angle_gamma 60.00
loop_
_symmetry_equiv_pos_as_xyz
'x,y,z'
loop_
_atom_site_label
_atom_site_type_symbol
_atom_site_fract_x
_atom_site_fract_y
_atom_site_fract_z
_atom_site_occupancy
Ag1 Ag 0.0000 0.0000 0.0000 1
Fe1 Fe 0.5000 0.5000 0.5000 1
La1 La 0.7500 0.7500 0.7500 1


No. 10
# PBE La7FeAg2, optimized geometry
# Formation enthalpy at 0 K (eV per atom): -0.052
# Total energy (eV/atom): -4.918
# D(E_F) (states/eV/atom): 1.366
# Calculated density (g cm⁻³): 6.89
# Magnetization (Bohr magnetons per cell): 0.00
data_La7FeAg2
_symmetry_space_group_name_H-M 'P 1'
_symmetry_Int_Tables_number 1
_cell_length_a 8.9849
_cell_length_b 9.6895
_cell_length_c 9.0119
_cell_angle_alpha 71.95
_cell_angle_beta 60.10
_cell_angle_gamma 62.38
loop_
_symmetry_equiv_pos_as_xyz
'x,y,z'
loop_
_atom_site_label
_atom_site_type_symbol
_atom_site_fract_x
_atom_site_fract_y
_atom_site_fract_z
_atom_site_occupancy
La1 La 0.3444 0.2010 0.5106 1
La2 La 0.0560 0.2990 0.9894 1
La3 La 0.9376 0.9968 0.3628 1
La4 La 0.9091 0.4027 0.4221 1
La5 La 0.0909 0.5973 0.5779 1
La6 La 0.4460 0.7500 0.2500 1
La7 La 0.5540 0.2500 0.7500 1
La8 La 0.2661 0.9027 0.9221 1
La9 La 0.7028 0.4968 0.8628 1
La10 La 0.0624 0.0032 0.6372 1
La11 La 0.2972 0.5032 0.1372 1
La12 La 0.7339 0.0973 0.0779 1
La13 La 0.9440 0.7010 0.0106 1
La14 La 0.6556 0.7990 0.4894 1
Ag1 Ag 0.3777 0.6191 0.6961 1
Ag2 Ag 0.6223 0.3809 0.3039 1
Ag3 Ag 0.6929 0.8809 0.8039 1
Ag4 Ag 0.3071 0.1191 0.1961 1
Fe1 Fe 0.0237 0.7500 0.2500 1
Fe2 Fe 0.9763 0.2500 0.7500 1


No. 11
# PBE LaFe2Ag, optimized geometry
# Formation enthalpy at 0 K (eV per atom): 0.284
# Total energy (eV/atom): -5.892
# D(E_F) (states/eV/atom): 0.733
# Calculated density (g cm⁻³): 7.75
# Magnetization (Bohr magnetons per cell): 4.13
data_LaFe2Ag
_symmetry_space_group_name_H-M 'P 1'
_symmetry_Int_Tables_number 1
_cell_length_a 3.6092
_cell_length_b 4.1987
_cell_length_c 5.4873
_cell_angle_alpha 67.51
_cell_angle_beta 90.00
_cell_angle_gamma 90.00
loop_
_symmetry_equiv_pos_as_xyz
'x,y,z'
loop_
_atom_site_label
_atom_site_type_symbol
_atom_site_fract_x
_atom_site_fract_y
_atom_site_fract_z
_atom_site_occupancy
Fe1 Fe 0.5000 0.0591 0.2566 1
Fe2 Fe 0.0000 0.1979 0.9793 1
La1 La 0.0000 0.4769 0.4213 1
Ag1 Ag 0.5000 0.7661 0.8429 1


No. 12
# PBE LaFe2Ag2, optimized geometry
# Formation enthalpy at 0 K (eV per atom): 0.422
# Total energy (eV/atom): -5.089
# D(E_F) (states/eV/atom): 0.954
# Calculated density (g cm⁻³): 8.27
# Magnetization (Bohr magnetons per cell): 9.51
data_LaFe2Ag2
_symmetry_space_group_name_H-M 'P 1'
_symmetry_Int_Tables_number 1
_cell_length_a 8.0165
_cell_length_b 8.0165
_cell_length_c 2.9140
_cell_angle_alpha 90.00
_cell_angle_beta 90.00
_cell_angle_gamma 90.00
loop_
_symmetry_equiv_pos_as_xyz
'x,y,z'
loop_
_atom_site_label
_atom_site_type_symbol
_atom_site_fract_x
_atom_site_fract_y
_atom_site_fract_z
_atom_site_occupancy
Ag1 Ag 0.3767 0.8767 0.0000 1
Ag2 Ag 0.6233 0.1233 0.0000 1
Ag3 Ag 0.8767 0.6233 0.0000 1
Ag4 Ag 0.1233 0.3767 0.0000 1
Fe1 Fe 0.8288 0.3288 0.5000 1
Fe2 Fe 0.1712 0.6712 0.5000 1
Fe3 Fe 0.6712 0.8288 0.5000 1
Fe4 Fe 0.3288 0.1712 0.5000 1
La1 La 0.5000 0.5000 0.0000 1
La2 La 0.0000 0.0000 0.0000 1


Look up the D(E_F) of the seventh one.
0.719 states/eV/atom


Copy entry 10 word for word.
# PBE La7FeAg2, optimized geometry
# Formation enthalpy at 0 K (eV per atom): -0.052
# Total energy (eV/atom): -4.918
# D(E_F) (states/eV/atom): 1.366
# Calculated density (g cm⁻³): 6.89
# Magnetization (Bohr magnetons per cell): 0.00
data_La7FeAg2
_symmetry_space_group_name_H-M 'P 1'
_symmetry_Int_Tables_number 1
_cell_length_a 8.9849
_cell_length_b 9.6895
_cell_length_c 9.0119
_cell_angle_alpha 71.95
_cell_angle_beta 60.10
_cell_angle_gamma 62.38
loop_
_symmetry_equiv_pos_as_xyz
'x,y,z'
loop_
_atom_site_label
_atom_site_type_symbol
_atom_site_fract_x
_atom_site_fract_y
_atom_site_fract_z
_atom_site_occupancy
La1 La 0.3444 0.2010 0.5106 1
La2 La 0.0560 0.2990 0.9894 1
La3 La 0.9376 0.9968 0.3628 1
La4 La 0.9091 0.4027 0.4221 1
La5 La 0.0909 0.5973 0.5779 1
La6 La 0.4460 0.7500 0.2500 1
La7 La 0.5540 0.2500 0.7500 1
La8 La 0.2661 0.9027 0.9221 1
La9 La 0.7028 0.4968 0.8628 1
La10 La 0.0624 0.0032 0.6372 1
La11 La 0.2972 0.5032 0.1372 1
La12 La 0.7339 0.0973 0.0779 1
La13 La 0.9440 0.7010 0.0106 1
La14 La 0.6556 0.7990 0.4894 1
Ag1 Ag 0.3777 0.6191 0.6961 1
Ag2 Ag 0.6223 0.3809 0.3039 1
Ag3 Ag 0.6929 0.8809 0.8039 1
Ag4 Ag 0.3071 0.1191 0.1961 1
Fe1 Fe 0.0237 0.7500 0.2500 1
Fe2 Fe 0.9763 0.2500 0.7500 1


Please write out number 4 again, unchanged.
# PBE KV2FeAg, optimized geometry
# Formation enthalpy at 0 K (eV per atom): 1.776
# Total energy (eV/atom): -4.353
# D(E_F) (states/eV/atom): 2.608
# Calculated density (g cm⁻³): 3.99
# Magnetization (Bohr magnetons per cell): 7.25
data_KV2FeAg
_symmetry_space_group_name_H-M 'P 1'
_symmetry_Int_Tables_number 1
_cell_length_a 5.0975
_cell_length_b 4.8805
_cell_length_c 5.0975
_cell_angle_alpha 90.00
_cell_angle_beta 90.00
_cell_angle_gamma 90.00
loop_
_symmetry_equiv_pos_as_xyz
'x,y,z'
loop_
_atom_site_label
_atom_site_type_symbol
_atom_site_fract_x
_atom_site_fract_y
_atom_site_fract_z
_atom_site_occupancy
Ag1 Ag 0.0000 0.0000 0.0000 1
V1 V 0.5000 0.0000 0.0000 1
V2 V 0.0000 0.0000 0.5000 1
Fe1 Fe 0.0000 0.5000 0.0000 1
K1 K 0.5000 0.5000 0.5000 1